# 1
{"formula": "URuRhAu", "functional": "PBE", "state": "optimized geometry", "dft_energy_ev_per_atom": -8.206, "polymorph_energy_ev_per_atom": 0.000, "delta_e_f_mev_per_atom": -408, "cell": [[3.775, 0.000, 0.000], [0.000, 4.176, 0.000], [0.000, 0.000, 4.341]], "species": ["U", "Ru", "Rh", "Au"], "frac_coords": [[0.000, 0.000, 0.000], [0.500, 0.500, 0.000], [0.500, 0.000, 0.500], [0.000, 0.500, 0.500]]}

# 2
{"formula": "Al2TcPd2", "functional": "PBE", "state": "optimized geometry", "dft_energy_ev_per_atom": -6.115, "delta_e_f_mev_per_atom": -468, "cell": [[7.301, 0.000, 0.000], [0.000, 7.301, 0.000], [0.000, 0.000, 2.759]], "species": ["Al", "Al", "Al", "Al", "Tc", "Tc", "Pd", "Pd", "Pd", "Pd"], "frac_coords": [[0.152, 0.348, 0.000], [0.348, 0.848, 0.000], [0.652, 0.152, 0.000], [0.848, 0.652, 0.000], [0.000, 0.000, 0.000], [0.500, 0.500, 0.000], [0.147, 0.647, 0.500], [0.353, 0.147, 0.500], [0.647, 0.853, 0.500], [0.853, 0.353, 0.500]]}